Ba2TcPt | PBE | optimized geometry

a b c (Å): 8.672 8.672 6.526
angles (deg): 90.00 90.00 90.00
Sites, in units of the cell vectors:
Ba (0.226, 0.250, 0.125)
Ba (0.250, 0.726, 0.375)
Ba (0.250, 0.774, 0.875)
Ba (0.274, 0.250, 0.625)
Ba (0.726, 0.750, 0.625)
Ba (0.750, 0.226, 0.875)
Ba (0.750, 0.274, 0.375)
Ba (0.774, 0.750, 0.125)
Tc (0.000, 0.000, 0.500)
Tc (0.000, 0.500, 0.750)
Tc (0.500, 0.000, 0.250)
Tc (0.500, 0.500, 0.000)
Pt (0.000, 0.000, 0.000)
Pt (0.000, 0.500, 0.250)
Pt (0.500, 0.000, 0.750)
Pt (0.500, 0.500, 0.500)

Output
relative energy among the computed polymorphs = 681 meV/atom

TaV4W | PBE | optimized geometry

a b c (Å): 4.997 4.997 4.997
angles (deg): 60.00 60.00 60.00
Sites, in units of the cell vectors:
Ta (0.000, 0.000, 0.000)
V (0.375, 0.375, 0.375)
V (0.375, 0.375, 0.875)
V (0.375, 0.875, 0.375)
V (0.875, 0.375, 0.375)
W (0.750, 0.750, 0.750)

BTePtI2 | PBE | optimized geometry

a b c (Å): 5.574 5.574 5.220
angles (deg): 90.00 90.00 90.00
Sites, in units of the cell vectors:
B (0.000, 0.000, 0.000)
Te (0.500, 0.500, 0.000)
Pt (0.500, 0.500, 0.500)
I (0.000, 0.500, 0.500)
I (0.500, 0.000, 0.500)

Output
relative energy among the computed polymorphs = 0 meV/atom
E_form (uncorrected) = 5.606 eV/f.u.

Zn7Os | PBE | optimized geometry

a b c (Å): 5.454 5.454 5.454
angles (deg): 60.00 60.00 60.00
Sites, in units of the cell vectors:
Zn (0.000, 0.000, 0.000)
Zn (0.000, 0.000, 0.500)
Zn (0.000, 0.500, 0.000)
Zn (0.000, 0.500, 0.500)
Zn (0.500, 0.000, 0.000)
Zn (0.500, 0.000, 0.500)
Zn (0.500, 0.500, 0.000)
Os (0.500, 0.500, 0.500)

These records have theoretical density values of 7.7 10.7 6.0 9.4 g/cm³, in the order they appear.
These records have electronic total energy values of -4.4230 -10.3313 -2.6709 -2.4914 eV/atom, in the order they appear.
These records have total moment values of 11.46 0.00 0.00 0.00 Bohr magnetons per cell, in the order they appear.